[1]
Density functional theory data (PBE-GGA) for a relaxed BeInHg2 crystal.

Summary:
As for the excess energy over the best structure of this formula in the dataset: 0.094 eV per atom. The formation energy comes out at 0.333 eV/atom. The uncorrected energy is -1.4340 eV/atom. The crystal system is orthorhombic.

Lattice parameters (Å, degrees): 3.2277 3.2277 8.2443 90.00 90.00 97.29
With the nearest neighbours (Å) after each atom.
Positions (direct):
1 In 0.0000 0.0000 0.5476  4 Be 2.81-3.04
2 Hg 0.0000 0.0000 0.9394  4 Be 2.55-2.80
3 Be 0.5000 0.5000 0.7697  4 Hg 2.55-2.80, 2 In 2.81
4 Hg 0.5000 0.5000 0.2432  8 Hg 3.23-3.48, 4 In 3.29-3.49

[2]
Density functional theory data (PBE-GGA) for a relaxed BeInHg2 crystal.

Summary:
As for the excess energy over the best structure of this formula in the dataset: 0.010 eV per atom. The formation energy comes out at 0.249 eV/atom. The uncorrected energy is -1.5179 eV/atom. The crystal system is orthorhombic.

Lattice parameters (Å, degrees): 7.1463 7.1463 7.1463 155.65 145.43 42.74
With the nearest neighbours (Å) after each atom.
Positions (direct):
1 In 0.4329 0.4329 0.0000  2 Be 2.96, 2 In 3.01, 6 Hg 3.20
2 Be 0.2415 0.7415 0.5000  6 Hg 2.61-2.71
3 Hg 0.0721 0.0721 0.0000  2 Be 2.71, 2 Hg 3.01
4 Hg 0.7535 0.2535 0.5000  4 Be 2.61

[3]
Density functional theory data (PBE-GGA) for a relaxed BeInHg3 crystal.

Summary:
As for the excess energy over the best structure of this formula in the dataset: 0.568 eV per atom. The formation energy comes out at 0.749 eV/atom. The uncorrected energy is -0.7246 eV/atom. The crystal system is cubic.

Lattice parameters (Å, degrees): 5.7112 5.7112 5.7112 90.00 90.00 90.00
With the nearest neighbours (Å) after each atom.
Positions (direct):
1 Hg 0.0000 0.5000 0.0000  2 In 2.86
2 Be 0.5000 0.5000 0.5000  12 Hg 4.04
3 In 0.0000 0.0000 0.0000  6 Hg 2.86
4 Hg 0.0000 0.0000 0.5000  2 In 2.86
5 Hg 0.5000 0.0000 0.0000  2 In 2.86

[4]
Density functional theory data (PBE-GGA) for a relaxed Be2In2Hg crystal.

Summary:
As for the excess energy over the best structure of this formula in the dataset: 0.000 eV per atom. The formation energy comes out at 0.369 eV/atom. The uncorrected energy is -2.2770 eV/atom. The crystal system is tetragonal.

Lattice parameters (Å, degrees): 6.6334 6.6334 4.1376 90.00 90.00 90.00
With the nearest neighbours (Å) after each atom.
Positions (direct):
1 Be 0.3800 0.8800 0.0000  1 Be 2.25
2 In 0.8304 0.3304 0.5000  6 Be 2.84-2.86, 1 In 3.18
3 In 0.1696 0.6696 0.5000  6 Be 2.84-2.86, 1 In 3.18
4 Hg 0.5000 0.5000 0.0000  4 Be 2.64
5 Hg 0.0000 0.0000 0.0000  4 Be 2.64
6 Be 0.6200 0.1200 0.0000  1 Be 2.25
7 In 0.6696 0.8304 0.5000  6 Be 2.84-2.86, 1 In 3.18
8 Be 0.1200 0.3800 0.0000  1 Be 2.25
9 In 0.3304 0.1696 0.5000  6 Be 2.84-2.86, 1 In 3.18
10 Be 0.8800 0.6200 0.0000  1 Be 2.25

[5]
Density functional theory data (PBE-GGA) for a relaxed BeInHg2 crystal.

Summary:
As for the excess energy over the best structure of this formula in the dataset: 0.212 eV per atom. The formation energy comes out at 0.451 eV/atom. The uncorrected energy is -1.3157 eV/atom. The crystal system is monoclinic.

Lattice parameters (Å, degrees): 5.0090 6.3824 3.2464 71.22 99.93 115.87
With the nearest neighbours (Å) after each atom.
Positions (direct):
1 In 0.0000 0.5000 0.5000  2 Be 2.74
2 Hg 0.0000 0.0000 0.0000  2 Hg 2.74
3 Be 0.5000 0.5000 0.0000  2 In 2.74
4 Hg 0.5000 0.0000 0.5000  2 Hg 2.74

[6]
Density functional theory data (PBE-GGA) for a relaxed BeInHg3 crystal.

Summary:
As for the excess energy over the best structure of this formula in the dataset: 0.000 eV per atom. The formation energy comes out at 0.182 eV/atom. The uncorrected energy is -1.2924 eV/atom. The crystal system is cubic.

Lattice parameters (Å, degrees): 4.9197 4.9197 4.9197 90.00 90.00 90.00
With the nearest neighbours (Å) after each atom.
Positions (direct):
1 Hg 0.0000 0.5000 0.0000  2 Be 2.46
2 Be 0.0000 0.0000 0.0000  6 Hg 2.46
3 In 0.5000 0.5000 0.5000  12 Hg 3.48
4 Hg 0.5000 0.0000 0.0000  2 Be 2.46
5 Hg 0.0000 0.0000 0.5000  2 Be 2.46

[7]
Density functional theory data (PBE-GGA) for a relaxed BeInHg2 crystal.

Summary:
As for the excess energy over the best structure of this formula in the dataset: 0.087 eV per atom. The formation energy comes out at 0.326 eV/atom. The uncorrected energy is -1.4415 eV/atom. The crystal system is tetragonal.

Lattice parameters (Å, degrees): 3.2026 3.1997 8.1609 90.00 90.00 90.00
With the nearest neighbours (Å) after each atom.
Positions (direct):
1 In 0.5000 0.5000 0.2500  4 In 3.20, 8 Hg 3.39
2 Be 0.5000 0.5000 0.7500  8 Hg 2.74
3 Hg 0.0000 0.0000 0.9402  4 Be 2.74
4 Hg 0.0000 0.0000 0.5598  4 Be 2.74

[8]
Density functional theory data (PBE-GGA) for a relaxed BeInHg2 crystal.

Summary:
As for the excess energy over the best structure of this formula in the dataset: 0.198 eV per atom. The formation energy comes out at 0.437 eV/atom. The uncorrected energy is -1.3298 eV/atom. The crystal system is orthorhombic.

Lattice parameters (Å, degrees): 4.6205 4.6205 4.2395 90.00 90.00 106.70
With the nearest neighbours (Å) after each atom.
Positions (direct):
1 Hg 0.0000 0.0000 0.0000  2 Hg 2.76
2 In 0.5000 0.0000 0.5000  2 Be 2.76
3 Hg 0.5000 0.5000 0.0000  2 Hg 2.76
4 Be 0.0000 0.5000 0.5000  2 In 2.76